# PBE-GGA Rb2TaBrF6, optimized geometry
data_Rb2TaBrF6
_symmetry_space_group_name_H-M 'F m -3 m'
_symmetry_Int_Tables_number 225
_symmetry_space_group_name_Hall '-F 4 2 3'
_cell_length_a 10.221
_cell_length_b 10.221
_cell_length_c 10.221
_cell_angle_alpha 90.00
_cell_angle_beta 90.00
_cell_angle_gamma 90.00
loop_
_atom_site_label
_atom_site_type_symbol
_atom_site_fract_x
_atom_site_fract_y
_atom_site_fract_z
Rb1 Rb 0.250 0.250 0.250
Ta1 Ta 0.000 0.000 0.000
Br1 Br 0.000 0.000 0.500
F1 F 0.000 0.000 0.188
# E_form (uncorrected)   -2.78 eV/atom
# DOS(E_F)   0.00 states/eV/f.u.
# Calculated volume   26.7 Å³ per atom